Record 1
First-principles (PBE) data for an optimized crystal structure of Li2SnB2O6, as listed in Alexandria via LeMat-Bulk.

a = 8.143 Å, b = 6.564 Å, c = 10.004 Å
α = 90.00°, β = 116.12°, γ = 90.00°
Space group Pc (No. 7)
Unique sites:
Li: 0.000 0.003 0.000
Li: 0.154 0.494 0.975
Li: 0.323 0.168 0.141
Li: 0.776 0.464 0.458
Sn: 0.394 0.300 0.800
Sn: 0.765 0.195 0.157
B: 0.054 0.385 0.192
B: 0.120 0.094 0.800
B: 0.519 0.433 0.620
B: 0.664 0.076 0.386
O: 0.197 0.059 0.701
O: 0.225 0.442 0.210
O: 0.227 0.228 0.916
O: 0.363 0.319 0.565
O: 0.582 0.097 0.231
O: 0.582 0.445 0.036
O: 0.586 0.076 0.941
O: 0.607 0.444 0.774
O: 0.810 0.180 0.478
O: 0.940 0.285 0.059
O: 0.960 0.017 0.792
O: 0.974 0.410 0.287

Output
Uncorrected energy (Ha/atom): -0.2468
Raw formation energy (eV per atom): -2.086
Density of states at the Fermi level (states/eV per cell): 0.0

=====

Record 2
First-principles (PBE) data for an optimized crystal structure of Li2SnBO4, as listed in Alexandria via LeMat-Bulk.

a = 7.600 Å, b = 5.093 Å, c = 10.264 Å
α = 90.00°, β = 99.07°, γ = 90.00°
Space group P2_1/c (No. 14)
Unique sites:
Li: 0.092 0.151 0.295
Li: 0.195 0.175 0.575
Sn: 0.494 0.121 0.877
B: 0.166 0.685 0.438
O: 0.032 0.685 0.863
O: 0.203 0.080 0.917
O: 0.276 0.676 0.041
O: 0.381 0.149 0.228

Output
Uncorrected energy (Ha/atom): -0.2308
Raw formation energy (eV per atom): -1.987

=====

Record 3
First-principles (PBE) data for an optimized crystal structure of Li3SnB2O6, as listed in Alexandria via LeMat-Bulk.

a = 5.008 Å, b = 7.299 Å, c = 8.094 Å
α = 68.50°, β = 87.67°, γ = 89.63°
Space group P-1 (No. 2)
Unique sites:
Li: 0.171 0.241 0.382
Li: 0.179 0.938 0.750
Li: 0.322 0.088 0.061
Sn: 0.368 0.446 0.671
B: 0.153 0.688 0.108
B: 0.338 0.869 0.426
O: 0.130 0.313 0.888
O: 0.197 0.016 0.310
O: 0.221 0.742 0.591
O: 0.272 0.521 0.230
O: 0.292 0.844 0.994
O: 0.394 0.168 0.612

Output
Uncorrected energy (Ha/atom): -0.2393
Raw formation energy (eV per atom): -2.108
Density of states at the Fermi level (states/eV per cell): 0.0

=====

Record 4
First-principles (PBE) data for an optimized crystal structure of Li2SnB2O6, as listed in Alexandria via LeMat-Bulk.

a = 5.126 Å, b = 7.049 Å, c = 8.181 Å
α = 68.91°, β = 88.54°, γ = 88.77°
Space group P-1 (No. 2)
Unique sites:
Li: 0.140 0.220 0.402
Li: 0.318 0.069 0.109
Sn: 0.383 0.416 0.750
B: 0.171 0.667 0.110
B: 0.358 0.810 0.458
O: 0.090 0.285 0.924
O: 0.223 0.687 0.612
O: 0.259 0.987 0.356
O: 0.262 0.474 0.212
O: 0.369 0.810 0.058
O: 0.400 0.277 0.576

Output
Uncorrected energy (Ha/atom): -0.2471
Raw formation energy (eV per atom): -2.093
Density of states at the Fermi level (states/eV per cell): 0.0